{"formula": "AlCr4Br", "functional": "PBE", "state": "optimized geometry", "raw_formation_energy_ev_per_atom": 0.684, "magmom_total_mub_per_cell": 0.00, "space_group": "F-43m", "cell": [[0.000, 3.466, 3.466], [3.466, 0.000, 3.466], [3.466, 3.466, 0.000]], "species": ["Al", "Cr", "Cr", "Cr", "Cr", "Br"], "frac_coords": [[0.000, 0.000, 0.000], [0.377, 0.377, 0.377], [0.377, 0.377, 0.870], [0.377, 0.870, 0.377], [0.870, 0.377, 0.377], [0.750, 0.750, 0.750]]}

***

{"formula": "AlCrBr", "functional": "PBE", "state": "optimized geometry", "raw_formation_energy_ev_per_atom": 0.262, "magmom_total_mub_per_cell": 3.76, "space_group": "Fmm2", "cell": [[0.000, 2.354, 5.730], [2.331, 0.000, 5.730], [2.331, 2.354, 0.000]], "species": ["Al", "Cr", "Br"], "frac_coords": [[0.000, 0.000, 0.000], [0.386, 0.386, 0.614], [0.740, 0.740, 0.260]]}

***

Number 1: Fermi-level density of states 5.30 states/eV per cell. Number 2: Fermi-level density of states 2.04 states/eV per cell.